NaNdMnWO6, relaxed, DFT GGA+U; energy relative to the lowest polymorph listed for this composition = 0 meV/atom; magnetic moment = 0.500 μB/atom; VASP energy = -7.43 eV per atom; SG = P2_1 (4)
1.0
-5.5966 1.0025 -0.4874
-0.3917 -4.0453 -3.8219
-1.4723 -5.3874 5.8250
Na Nd Mn W O
2 2 2 2 12
direct
0.7856 0.2490 0.0005
0.2856 0.7510 0.9995
0.7049 0.2375 0.5010
0.2049 0.7625 0.4990
0.7524 0.7489 0.2386
0.2524 0.2511 0.7614
0.7601 0.7413 0.7592
0.2601 0.2587 0.2408
0.2251 0.1689 0.0191
0.7251 0.8311 0.9809
0.2893 0.3453 0.4918
0.7893 0.6547 0.5082
0.5567 0.4202 0.2167
0.0567 0.5798 0.7833
0.5855 0.4514 0.7760
0.0855 0.5486 0.2240
0.4896 0.9418 0.6871
0.9896 0.0582 0.3129
0.9583 0.0244 0.6892
0.4583 0.9756 0.3108